1.
This record from the Alexandria database describes a relaxed PuPb3O7 crystal. The functional is PBE-GGA.

```
PuPb3O7
1.0
4.174 -3.944 0.000
4.174 3.944 0.000
-3.460 0.000 5.693
Pu Pb O
1 3 7
direct
0.000 0.000 0.000
0.241 0.758 0.468
0.489 0.489 0.988
0.758 0.241 0.468
0.029 0.663 0.782
0.147 0.147 0.841
0.335 0.962 0.230
0.502 0.502 0.323
0.663 0.029 0.782
0.849 0.849 0.162
0.962 0.335 0.230
```

Output
The volume comes out at 17.04 A^3/atom. As for the magnetization: 0.25 Bohr magnetons per cell. The mass density is 8.66 g/cm3. Its formation energy (no corrections) is -1.534 eV per atom.

=====

2.
This record from the Alexandria database describes a relaxed Ca2HgPd6 crystal. The functional is PBE-GGA.

```
Ca2HgPd6
1.0
0.000 4.529 4.529
4.529 0.000 4.529
4.529 4.529 0.000
Ca Hg Pd
2 1 6
direct
0.250 0.250 0.250
0.750 0.750 0.750
0.000 0.000 0.000
0.287 0.287 0.713
0.287 0.713 0.287
0.287 0.713 0.713
0.713 0.287 0.287
0.713 0.287 0.713
0.713 0.713 0.287
```

Output
The value obtained for the formation energy is -0.358 eV/atom. The volume comes out at 20.65 A^3/atom. As for the magnetization: 0.00 Bohr magnetons per cell. The mass density is 8.21 g/cm3. The value obtained for the energy above the lowest structure with this stoichiometry is 0 meV/atom.

=====

3.
This record from the Alexandria database describes a relaxed InCo3Te crystal. The functional is PBE-GGA.

```
InCo3Te
1.0
4.685 0.000 0.000
0.000 4.685 0.000
0.000 0.000 4.685
In Co Te
1 3 1
direct
0.000 0.000 0.000
0.000 0.500 0.500
0.500 0.000 0.500
0.500 0.500 0.000
0.500 0.500 0.500
```

Output
The volume comes out at 20.57 A^3/atom. As for the magnetization: 4.07 Bohr magnetons per cell. The mass density is 6.77 g/cm3. Its formation energy (no corrections) is 0.906 eV per atom. The value obtained for the energy above the lowest structure with this stoichiometry is 0 meV/atom.

=====

4.
This record from the Alexandria database describes a relaxed Ta2Re2Au crystal. The functional is PBE-GGA.

```
Ta2Re2Au
1.0
-1.816 1.816 7.059
1.816 -1.816 7.059
1.816 1.816 -7.059
Ta Re Au
2 2 1
direct
0.102 0.102 0.000
0.898 0.898 0.000
0.250 0.750 0.500
0.750 0.250 0.500
0.500 0.500 0.000
```

Output
The value obtained for the formation energy is 0.543 eV/atom. The volume comes out at 18.63 A^3/atom. As for the magnetization: 0.02 Bohr magnetons per cell. The mass density is 16.60 g/cm3.

=====

5.
This record from the Alexandria database describes a relaxed ZnCu3S crystal. The functional is PBE-GGA.

```
ZnCu3S
1.0
4.394 0.000 0.000
0.000 4.394 0.000
0.000 0.000 4.394
Zn Cu S
1 3 1
direct
0.000 0.000 0.000
0.000 0.500 0.500
0.500 0.000 0.500
0.500 0.500 0.000
0.500 0.500 0.500
```

Output
The volume comes out at 16.97 A^3/atom. As for the magnetization: 0.00 Bohr magnetons per cell. The mass density is 5.64 g/cm3. Its formation energy (no corrections) is 0.339 eV per atom. The value obtained for the energy above the lowest structure with this stoichiometry is 0 meV/atom.

=====

6.
This record from the Alexandria database describes a relaxed TbDy2Mg crystal. The functional is PBE-GGA.

```
TbDy2Mg
1.0
0.000 3.888 3.888
3.888 0.000 3.888
3.888 3.888 0.000
Tb Dy Mg
1 2 1
direct
0.000 0.000 0.000
0.250 0.250 0.250
0.750 0.750 0.750
0.500 0.500 0.500
```

Output
The value obtained for the formation energy is 0.061 eV/atom. The volume comes out at 29.38 A^3/atom. As for the magnetization: 0.00 Bohr magnetons per cell. The mass density is 7.18 g/cm3. The value obtained for the energy above the lowest structure with this stoichiometry is 91 meV/atom.

=====

7.
This record from the Alexandria database describes a relaxed V2PdW crystal. The functional is PBE-GGA.

```
V2PdW
1.0
-3.453 3.453 2.641
3.453 -3.453 2.641
3.453 3.453 -2.641
V Pd W
4 2 2
direct
0.123 0.625 0.998
0.375 0.373 0.498
0.627 0.125 0.002
0.875 0.877 0.502
0.000 0.000 0.000
0.750 0.250 0.500
0.250 0.750 0.500
0.500 0.500 0.000
```

Output
The value obtained for the formation energy is 0.587 eV/atom. The volume comes out at 15.74 A^3/atom. As for the magnetization: 0.00 Bohr magnetons per cell. The mass density is 10.34 g/cm3.

=====

8.
This record from the Alexandria database describes a relaxed Be2CoSn crystal. The functional is PBE-GGA.

```
Be2CoSn
1.0
-1.915 1.915 7.779
1.915 -1.915 7.779
1.915 1.915 -7.779
Be Co Sn
4 2 2
direct
0.375 0.222 0.347
0.778 0.125 0.153
0.875 0.028 0.653
0.972 0.625 0.847
0.000 0.000 0.000
0.750 0.250 0.500
0.250 0.750 0.500
0.500 0.500 0.000
```

Output
The value obtained for the formation energy is 0.420 eV/atom. The volume comes out at 14.26 A^3/atom. As for the magnetization: 1.19 Bohr magnetons per cell. The mass density is 5.70 g/cm3.